CdSeBr2 after structural relaxation, computed with GGA-PBE.

It has space group P4mm (No. 99), with a = 4.016 Å, b = 4.016 Å, c = 8.307 Å, α = 90.00°, β = 90.00° and γ = 90.00°. The inequivalent atoms are Cd at (0.000, 0.000, 0.000), Se at (0.500, 0.500, 0.908), Br at (0.000, 0.000, 0.301) and Br at (0.500, 0.500, 0.624).

Its spin magnetization is 0.0 Bohr magnetons per cell. Its formation energy without anion corrections is -0.27 eV per atom.

=====

CdSeBr2 after structural relaxation, computed with GGA-PBE.

It has space group Cmmm (No. 65), with a = 6.925 Å, b = 9.233 Å, c = 3.594 Å, α = 90.00°, β = 90.00° and γ = 90.00°. The inequivalent atoms are Cd at (0.000, 0.000, 0.000), Se at (0.000, 0.500, 0.000) and Br at (0.000, 0.218, 0.500).

Its spin magnetization is 0.0 Bohr magnetons per cell. Its formation energy without anion corrections is -0.03 eV per atom.

=====

CdSiSeBr2 after structural relaxation, computed with GGA-PBE.

It has space group P4/mmm (No. 123), with a = 5.084 Å, b = 5.084 Å, c = 5.087 Å, α = 90.00°, β = 90.00° and γ = 90.00°. The inequivalent atoms are Cd at (0.000, 0.000, 0.000), Si at (0.500, 0.500, 0.500), Se at (0.500, 0.500, 0.000) and Br at (0.000, 0.500, 0.500).

Its spin magnetization is 0.0 Bohr magnetons per cell. Its formation energy without anion corrections is -0.04 eV per atom.

=====

CdSiSe2Br after structural relaxation, computed with GGA-PBE.

It has space group P4/mmm (No. 123), with a = 4.910 Å, b = 4.910 Å, c = 5.079 Å, α = 90.00°, β = 90.00° and γ = 90.00°. The inequivalent atoms are Cd at (0.000, 0.000, 0.000), Si at (0.500, 0.500, 0.500), Se at (0.000, 0.500, 0.500) and Br at (0.500, 0.500, 0.000).

Its spin magnetization is 0.0 Bohr magnetons per cell. Its formation energy without anion corrections is 0.06 eV per atom.

=====

CdSiSeBr2 after structural relaxation, computed with GGA-PBE.

It has space group P4/mmm (No. 123), with a = 5.285 Å, b = 5.285 Å, c = 5.469 Å, α = 90.00°, β = 90.00° and γ = 90.00°. The inequivalent atoms are Cd at (0.000, 0.000, 0.000), Si at (0.500, 0.500, 0.500), Se at (0.000, 0.000, 0.500) and Br at (0.000, 0.500, 0.000).

Its spin magnetization is 0.0 Bohr magnetons per cell. Its formation energy without anion corrections is 0.36 eV per atom.

=====

CdSiSe2Br after structural relaxation, computed with GGA-PBE.

It has space group P4/mmm (No. 123), with a = 5.215 Å, b = 5.215 Å, c = 5.328 Å, α = 90.00°, β = 90.00° and γ = 90.00°. The inequivalent atoms are Cd at (0.000, 0.000, 0.000), Si at (0.500, 0.500, 0.500), Se at (0.000, 0.500, 0.000) and Br at (0.000, 0.000, 0.500).

Its spin magnetization is 0.0 Bohr magnetons per cell. Its formation energy without anion corrections is 0.58 eV per atom.

=====

TaCdSe2Br after structural relaxation, computed with GGA-PBE.

It has space group P4/mmm (No. 123), with a = 5.230 Å, b = 5.230 Å, c = 5.085 Å, α = 90.00°, β = 90.00° and γ = 90.00°. The inequivalent atoms are Ta at (0.000, 0.000, 0.000), Cd at (0.500, 0.500, 0.000), Se at (0.000, 0.500, 0.500) and Br at (0.500, 0.500, 0.500).

Its spin magnetization is 3.1 Bohr magnetons per cell. Its formation energy without anion corrections is 1.39 eV per atom.

=====

TaCdSe2Br after structural relaxation, computed with GGA-PBE.

It has space group P4/mmm (No. 123), with a = 5.050 Å, b = 5.050 Å, c = 5.263 Å, α = 90.00°, β = 90.00° and γ = 90.00°. The inequivalent atoms are Ta at (0.000, 0.000, 0.000), Cd at (0.500, 0.500, 0.500), Se at (0.000, 0.500, 0.000) and Br at (0.000, 0.000, 0.500).

Its spin magnetization is 0.0 Bohr magnetons per cell. Its formation energy without anion corrections is -0.21 eV per atom.

=====

TaCdSe2Br after structural relaxation, computed with GGA-PBE.

It has space group P4/mmm (No. 123), with a = 5.169 Å, b = 5.169 Å, c = 5.190 Å, α = 90.00°, β = 90.00° and γ = 90.00°. The inequivalent atoms are Ta at (0.000, 0.000, 0.000), Cd at (0.500, 0.500, 0.500), Se at (0.000, 0.500, 0.500) and Br at (0.500, 0.500, 0.000).

Its spin magnetization is 2.4 Bohr magnetons per cell. Its formation energy without anion corrections is 1.00 eV per atom.

=====

CdTeSeBr2 after structural relaxation, computed with GGA-PBE.

It has space group P4/mmm (No. 123), with a = 5.579 Å, b = 5.579 Å, c = 5.520 Å, α = 90.00°, β = 90.00° and γ = 90.00°. The inequivalent atoms are Cd at (0.000, 0.000, 0.000), Te at (0.500, 0.500, 0.500), Se at (0.500, 0.500, 0.000) and Br at (0.000, 0.500, 0.500).

Its spin magnetization is 0.0 Bohr magnetons per cell. Its formation energy without anion corrections is 0.06 eV per atom.

=====

CdTeSe2Br after structural relaxation, computed with GGA-PBE.

It has space group P4/mmm (No. 123), with a = 5.441 Å, b = 5.441 Å, c = 5.479 Å, α = 90.00°, β = 90.00° and γ = 90.00°. The inequivalent atoms are Cd at (0.000, 0.000, 0.000), Te at (0.500, 0.500, 0.500), Se at (0.000, 0.500, 0.500) and Br at (0.500, 0.500, 0.000).

Its spin magnetization is 0.0 Bohr magnetons per cell. Its formation energy without anion corrections is 0.23 eV per atom.

=====

TiCdSe2Br after structural relaxation, computed with GGA-PBE.

It has space group P4/mmm (No. 123), with a = 4.969 Å, b = 4.969 Å, c = 5.213 Å, α = 90.00°, β = 90.00° and γ = 90.00°. The inequivalent atoms are Ti at (0.000, 0.000, 0.000), Cd at (0.500, 0.500, 0.500), Se at (0.000, 0.500, 0.000) and Br at (0.000, 0.000, 0.500).

Its spin magnetization is 0.0 Bohr magnetons per cell. Its formation energy without anion corrections is -0.48 eV per atom.

=====

TlCdSeBr2 after structural relaxation, computed with GGA-PBE.

It has space group P4/mmm (No. 123), with a = 5.616 Å, b = 5.616 Å, c = 5.320 Å, α = 90.00°, β = 90.00° and γ = 90.00°. The inequivalent atoms are Tl at (0.000, 0.000, 0.000), Cd at (0.500, 0.500, 0.500), Se at (0.500, 0.500, 0.000) and Br at (0.000, 0.500, 0.500).

Its spin magnetization is 1.0 Bohr magnetons per cell. Its formation energy without anion corrections is -0.39 eV per atom.

=====

TlCdSe2Br after structural relaxation, computed with GGA-PBE.

It has space group P4/mmm (No. 123), with a = 5.257 Å, b = 5.257 Å, c = 5.849 Å, α = 90.00°, β = 90.00° and γ = 90.00°. The inequivalent atoms are Tl at (0.000, 0.000, 0.000), Cd at (0.500, 0.500, 0.500), Se at (0.000, 0.500, 0.500) and Br at (0.500, 0.500, 0.000).

Its spin magnetization is 1.0 Bohr magnetons per cell. Its formation energy without anion corrections is -0.09 eV per atom.

=====

VCdSeBr2 after structural relaxation, computed with GGA-PBE.

It has space group P4/mmm (No. 123), with a = 5.161 Å, b = 5.161 Å, c = 4.821 Å, α = 90.00°, β = 90.00° and γ = 90.00°. The inequivalent atoms are V at (0.000, 0.000, 0.000), Cd at (0.500, 0.500, 0.500), Se at (0.000, 0.000, 0.500) and Br at (0.000, 0.500, 0.000).

Its spin magnetization is 0.3 Bohr magnetons per cell. Its formation energy without anion corrections is -0.21 eV per atom.